# 1
Computed, not measured: an optimized crystal structure of KRbThS3 at the PBE-GGA level of DFT.

Unit cell a=9.3369 b=9.3369 c=11.7441 alpha=90.00 beta=90.00 gamma=153.69
Positions (direct):
K: 0.1209 0.8791 0.2500
K: 0.8791 0.1209 0.7500
Rb: 0.8539 0.1461 0.2500
Rb: 0.1461 0.8539 0.7500
S: 0.0998 0.9002 0.0026
S: 0.4947 0.5053 0.2500
S: 0.0998 0.9002 0.4974
S: 0.9002 0.0998 0.5026
S: 0.5053 0.4947 0.7500
S: 0.9002 0.0998 0.9974
Th: 0.5000 0.5000 0.0000
Th: 0.5000 0.5000 0.5000

Output
Calculated volume   453.7 Å³/cell
ρ   3.31 g/cm3
Uncorrected energy   -5.16 eV/atom
Spin magnetization   0.018 μB per cell

***

# 2
Computed, not measured: an optimized crystal structure of NaGdCdO3 at the PBE-GGA level of DFT.

Unit cell a=6.2548 b=6.2548 c=9.0081 alpha=90.00 beta=90.00 gamma=146.44
Positions (direct):
Cd: 0.6220 0.3780 0.2500
Cd: 0.3780 0.6220 0.7500
Gd: 0.0000 0.0000 0.0000
Gd: 0.0000 0.0000 0.5000
Na: 0.3477 0.6523 0.2500
Na: 0.6523 0.3477 0.7500
O: 0.6225 0.3775 0.0202
O: 0.9767 0.0233 0.2500
O: 0.6225 0.3775 0.4798
O: 0.3775 0.6225 0.5202
O: 0.0233 0.9767 0.7500
O: 0.3775 0.6225 0.9798

Output
Calculated volume   194.8 Å³/cell
ρ   5.81 g/cm3
Uncorrected energy   -5.58 eV/atom
Spin magnetization   0.001 μB per cell

***

# 3
Computed, not measured: an optimized crystal structure of Rb2FePdCl6 at the PBE-GGA level of DFT.

Unit cell a=7.0133 b=7.0133 c=7.0133 alpha=60.00 beta=60.00 gamma=60.00
Positions (direct):
Cl: 0.7565 0.2435 0.2435
Cl: 0.2435 0.7565 0.2435
Cl: 0.7565 0.7565 0.2435
Cl: 0.2435 0.2435 0.7565
Cl: 0.7565 0.2435 0.7565
Cl: 0.2435 0.7565 0.7565
Fe: 0.0000 0.0000 0.0000
Pd: 0.5000 0.5000 0.5000
Rb: 0.2500 0.2500 0.2500
Rb: 0.7500 0.7500 0.7500

Output
Calculated volume   243.9 Å³/cell
ρ   3.72 g/cm3
Uncorrected energy   -3.78 eV/atom
Spin magnetization   3.297 μB per cell

***

# 4
Computed, not measured: an optimized crystal structure of LiZnCuAg at the PBE-GGA level of DFT.

Unit cell a=4.3137 b=4.3137 c=4.3137 alpha=60.00 beta=60.00 gamma=60.00
Positions (direct):
Ag: 0.5000 0.5000 0.5000
Cu: 0.0000 0.0000 0.0000
Li: 0.7500 0.7500 0.7500
Zn: 0.2500 0.2500 0.2500

Output
Calculated volume   56.8 Å³/cell
ΔE to the lowest computed polymorph   0.003 eV per atom
ρ   7.13 g/cm3

***

# 5
Computed, not measured: an optimized crystal structure of NdSi2Ni9 at the PBE-GGA level of DFT.

Unit cell a=7.5880 b=7.5880 c=7.5880 alpha=99.65 beta=99.65 gamma=131.67
Positions (direct):
Nd: 0.5000 0.5000 0.0000
Nd: 0.2500 0.7500 0.5000
Ni: 0.0000 0.0000 0.0000
Ni: 0.0167 0.6884 0.0797
Ni: 0.0630 0.3912 0.0797
Ni: 0.7333 0.3130 0.1718
Ni: 0.4384 0.8588 0.1718
Ni: 0.0167 0.9370 0.3282
Ni: 0.3116 0.3912 0.3282
Ni: 0.7333 0.5616 0.4203
Ni: 0.6870 0.8588 0.4203
Ni: 0.7500 0.2500 0.5000
Ni: 0.1412 0.3130 0.5797
Ni: 0.4384 0.2667 0.5797
Ni: 0.6088 0.6884 0.6718
Ni: 0.0630 0.9833 0.6718
Ni: 0.1412 0.5616 0.8282
Ni: 0.6870 0.2667 0.8282
Ni: 0.6088 0.9370 0.9203
Ni: 0.3116 0.9833 0.9203
Si: 0.3750 0.1250 0.2500
Si: 0.8750 0.1250 0.2500
Si: 0.8750 0.1250 0.7500
Si: 0.8750 0.6250 0.7500

Output
Calculated volume   297.8 Å³/cell
ρ   8.13 g/cm3
Uncorrected energy   -5.95 eV/atom
Spin magnetization   0.024 μB per cell

***

# 6
Computed, not measured: an optimized crystal structure of Pr2HoCd3CuAu2 at the PBE-GGA level of DFT.

Unit cell a=3.9694 b=7.8426 c=7.8426 alpha=119.71 beta=90.00 gamma=90.00
Positions (direct):
Au: 0.5000 0.6640 0.3423
Au: 0.5000 0.3423 0.6640
Cd: 0.5000 0.2440 0.2440
Cd: 0.5000 0.9962 0.7567
Cd: 0.5000 0.7567 0.9962
Cu: 0.0000 0.9961 0.9961
Ho: 0.0000 0.5921 0.5921
Pr: 0.0000 0.4083 0.0003
Pr: 0.0000 0.0003 0.4083

Output
Calculated volume   212.1 Å³/cell
ρ   9.72 g/cm3
Formation enthalpy at 0 K   -53.3 kJ per mole of atoms
Spin magnetization   0.005 μB per cell